# 1
The following is a GGA-PBE calculation of CoPbCl4 after structural relaxation, from Alexandria via LeMat-Bulk.

Values from the calculation:
Formation energy without anion corrections = -837 meV per atom
Energy above the lowest structure with this stoichiometry = 0 meV per atom
Spin magnetization = 6.00 Bohr magnetons per cell
Volume = 29.26 Å³/atom
Total energy = -3.870 eV per atom

Cell lengths 7.7267, 7.7272, 7.7269 Å; angles 73.90, 73.90, 116.45 degrees
With the nearest neighbours (Å) after each atom.
Sites, in units of the cell vectors:
Co: 0.6250 0.8750 0.7500  4 Cl 2.25
Co: 0.3750 0.1250 0.2500  4 Cl 2.25
Pb: 0.8750 0.6250 0.2500  8 Cl 3.01-3.07
Pb: 0.1250 0.3750 0.7500  8 Cl 3.01-3.07
Cl: 0.2599 0.6910 0.9311  1 Co 2.25
Cl: 0.6220 0.6910 0.5689  1 Co 2.25
Cl: 0.1910 0.1221 0.0689  1 Co 2.25
Cl: 0.7401 0.3090 0.0689  1 Co 2.25
Cl: 0.1909 0.7599 0.4311  1 Co 2.25
Cl: 0.8090 0.8779 0.9311  1 Co 2.25
Cl: 0.3780 0.3090 0.4311  1 Co 2.25
Cl: 0.8091 0.2401 0.5689  1 Co 2.25

***

# 2
The following is a GGA-PBE calculation of CoPbCl after structural relaxation, from Alexandria via LeMat-Bulk.

Values from the calculation:
Formation energy without anion corrections = 141 meV per atom
Energy above the lowest structure with this stoichiometry = 169 meV per atom
Spin magnetization = 2.00 Bohr magnetons per cell
Volume = 23.58 Å³/atom
Total energy = -4.080 eV per atom

Cell lengths 7.6341, 7.2948, 3.3466 Å; angles 82.78, 71.44, 25.78 degrees
With the nearest neighbours (Å) after each atom.
Sites, in units of the cell vectors:
Pb: 0.3054 0.3054 0.6946  2 Co 2.84
Co: 0.6479 0.6479 0.3521  2 Cl 2.26
Cl: 0.0466 0.0466 0.9534  2 Co 2.26

***

# 3
The following is a GGA-PBE calculation of Co2PbCl after structural relaxation, from Alexandria via LeMat-Bulk.

Values from the calculation:
Formation energy without anion corrections = 859 meV per atom
Energy above the lowest structure with this stoichiometry = 690 meV per atom
Spin magnetization = 3.35 Bohr magnetons per cell
Volume = 18.50 Å³/atom
Total energy = -4.083 eV per atom

Cell lengths 4.7124, 4.7124, 4.7124 Å; angles 60.00, 60.00, 60.00 degrees
With the nearest neighbours (Å) after each atom.
Sites, in units of the cell vectors:
Pb: 0.2500 0.2500 0.2500  4 Co 2.89, 4 Cl 2.89
Co: 0.0000 0.0000 0.0000  4 Co 2.89, 4 Pb 2.89
Co: 0.7500 0.7500 0.7500  4 Cl 2.89, 4 Co 2.89
Cl: 0.5000 0.5000 0.5000  4 Pb 2.89, 4 Co 2.89

***

# 4
The following is a GGA-PBE calculation of CoPb3Cl after structural relaxation, from Alexandria via LeMat-Bulk.

Values from the calculation:
Formation energy without anion corrections = 859 meV per atom
Energy above the lowest structure with this stoichiometry = 911 meV per atom
Spin magnetization = 2.10 Bohr magnetons per cell
Volume = 33.15 Å³/atom
Total energy = -3.157 eV per atom

Cell lengths 5.4933, 5.4933, 5.4933 Å; angles 90.00, 90.00, 90.00 degrees
With the nearest neighbours (Å) after each atom.
Sites, in units of the cell vectors:
Pb: 0.0000 0.5000 0.0000  2 Cl 2.75
Pb: 0.0000 0.0000 0.5000  2 Cl 2.75
Pb: 0.5000 0.0000 0.0000  2 Cl 2.75
Co: 0.5000 0.5000 0.5000  12 Pb 3.88
Cl: 0.0000 0.0000 0.0000  6 Pb 2.75

***

# 5
The following is a GGA-PBE calculation of Co2PbCl after structural relaxation, from Alexandria via LeMat-Bulk.

Values from the calculation:
Formation energy without anion corrections = 285 meV per atom
Energy above the lowest structure with this stoichiometry = 116 meV per atom
Spin magnetization = 3.12 Bohr magnetons per cell
Volume = 21.39 Å³/atom
Total energy = -4.657 eV per atom

Cell lengths 5.0905, 5.0905, 7.4117 Å; angles 50.28, 50.28, 37.08 degrees
With the nearest neighbours (Å) after each atom.
Sites, in units of the cell vectors:
Pb: 0.2500 0.2500 0.2500  6 Co 2.69-2.87
Co: 0.0555 0.0555 0.1097  2 Co 2.26
Co: 0.4445 0.4445 0.3903  2 Co 2.26
Cl: 0.7500 0.7500 0.7500  4 Co 2.55

***

# 6
The following is a GGA-PBE calculation of CoPb3Cl after structural relaxation, from Alexandria via LeMat-Bulk.

Values from the calculation:
Formation energy without anion corrections = -52 meV per atom
Energy above the lowest structure with this stoichiometry = 0 meV per atom
Spin magnetization = 0.00 Bohr magnetons per cell
Volume = 27.08 Å³/atom
Total energy = -4.068 eV per atom

Cell lengths 5.1347, 5.1347, 5.1347 Å; angles 90.00, 90.00, 90.00 degrees
With the nearest neighbours (Å) after each atom.
Sites, in units of the cell vectors:
Pb: 0.0000 0.5000 0.0000  2 Co 2.57
Pb: 0.0000 0.0000 0.5000  2 Co 2.57
Pb: 0.5000 0.0000 0.0000  2 Co 2.57
Co: 0.0000 0.0000 0.0000  6 Pb 2.57
Cl: 0.5000 0.5000 0.5000  12 Pb 3.63

***

# 7
The following is a GGA-PBE calculation of CoPbCl5 after structural relaxation, from Alexandria via LeMat-Bulk.

Values from the calculation:
Formation energy without anion corrections = -739 meV per atom
Spin magnetization = 7.89 Bohr magnetons per cell
Volume = 34.22 Å³/atom
Total energy = -3.603 eV per atom

Cell lengths 7.2722, 7.2721, 10.5321 Å; angles 111.79, 111.82, 85.46 degrees
With the nearest neighbours (Å) after each atom.
Sites, in units of the cell vectors:
Co: 0.9063 0.5937 0.2500  4 Cl 2.19
Co: 0.0937 0.4063 0.7500  4 Cl 2.19
Pb: 0.5000 0.0000 0.0000  6 Cl 2.79-2.96
Pb: 0.5000 0.0000 0.5000  6 Cl 2.79-2.96
Cl: 0.7530 0.6800 0.0604  1 Co 2.19
Cl: 0.2275 0.6425 0.3192  1 Co 2.19
Cl: 0.4066 0.0930 0.2499  2 Pb 2.79
Cl: 0.8201 0.7474 0.4395  1 Co 2.19
Cl: 0.1799 0.2526 0.5605  1 Co 2.19
Cl: 0.8574 0.2726 0.1810  1 Co 2.19
Cl: 0.1426 0.7274 0.8190  1 Co 2.19
Cl: 0.5934 0.9070 0.7501  2 Pb 2.79
Cl: 0.7725 0.3575 0.6808  1 Co 2.19
Cl: 0.2470 0.3200 0.9396  1 Co 2.19

***

# 8
The following is a GGA-PBE calculation of CoPbCl3 after structural relaxation, from Alexandria via LeMat-Bulk.

Values from the calculation:
Formation energy without anion corrections = 65 meV per atom
Energy above the lowest structure with this stoichiometry = 551 meV per atom
Spin magnetization = 2.24 Bohr magnetons per cell
Volume = 35.15 Å³/atom
Total energy = -3.206 eV per atom

Cell lengths 5.6013, 5.6013, 5.6013 Å; angles 90.00, 90.00, 90.00 degrees
With the nearest neighbours (Å) after each atom.
Sites, in units of the cell vectors:
Pb: 0.0000 0.0000 0.0000  6 Cl 2.80
Co: 0.5000 0.5000 0.5000  12 Cl 3.96
Cl: 0.0000 0.5000 0.0000  2 Pb 2.80
Cl: 0.0000 0.0000 0.5000  2 Pb 2.80
Cl: 0.5000 0.0000 0.0000  2 Pb 2.80